{"formula": "Zn2Si2Au", "functional": "PBE", "state": "optimized geometry", "cell": [[-2.791, 1.008, -2.641], [-2.741, -0.057, 2.874], [-1.826, 5.698, 1.117]], "species": ["Au", "Zn", "Si", "Si", "Zn"], "fractional_positions": [[0.000, 0.000, 0.000], [0.250, 0.750, 0.500], [0.395, 0.395, 0.211], [0.605, 0.605, 0.789], [0.750, 0.250, 0.500]], "crystal_system": "tetragonal", "dos_ef_per_ev_fu": 1.8, "mass_density_g_cm3": 7.5, "e_form_raw_ev_per_atom": 0.28, "polymorph_energy_mev_per_atom": 95, "magmom_total_mub_per_fu": 0.0}